# 1
# CsBaAuS2

A relaxed structure of CsBaAuS2 (PBE, the Alexandria database).

Geometry as POSCAR:
```
CsBaAuS2
1.0
-5.1251 1.2094 1.8414
-0.4376 -7.2474 3.5421
3.4786 5.1229 6.3173
Ba S Au Cs
2 4 2 2
direct
0.5218 0.0000 0.7500
0.4782 0.0000 0.2500
0.7336 0.7703 0.9638
0.7336 0.2297 0.5362
0.2663 0.2297 0.0362
0.2663 0.7703 0.4638
0.0000 0.0000 0.0000
0.0000 0.0000 0.5000
0.8141 0.5000 0.2500
0.1859 0.5000 0.7500
```

ΔE_f (raw) = -1.242 eV/atom
calculated volume = 38.8 A^3/atom
space-group type = P2/c
VASP energy = -41.03 eV for the cell shown

---

# 2
# CsBaAuSe2

A relaxed structure of CsBaAuSe2 (PBE, the Alexandria database).

Geometry as POSCAR:
```
CsBaAuSe2
1.0
-1.1864 -4.2714 -3.4564
1.7115 -5.8848 6.6849
-9.0302 3.2794 -0.9530
Cs Ba Se Au
2 2 4 2
direct
0.7711 0.2500 0.5000
0.2289 0.7500 0.5000
0.5000 0.2500 0.0000
0.5000 0.7500 0.0000
0.2664 0.3854 0.7709
0.7336 0.6146 0.2291
0.7336 0.8854 0.7709
0.2664 0.1146 0.2291
0.0000 0.0000 0.0000
0.0000 0.5000 0.0000
```

ΔE_f (raw) = -1.208 eV/atom
calculated volume = 43.5 A^3/atom
space-group type = Cmme
VASP energy = -38.12 eV for the cell shown

---

# 3
# Cs2BaTl12Au3

A relaxed structure of Cs2BaTl12Au3 (PBE, the Alexandria database).

Geometry as POSCAR:
```
Cs2BaTl12Au3
1.0
9.9148 0.0368 0.0261
4.9285 8.6031 0.0261
4.9285 2.8688 8.1108
Tl Cs Au Ba
12 2 3 1
direct
0.2461 0.8636 0.2461
0.1648 0.1648 0.5247
0.8636 0.2461 0.2461
0.5247 0.1648 0.1648
0.7539 0.1364 0.7539
0.7539 0.7539 0.1364
0.4753 0.8352 0.8352
0.1648 0.5247 0.1648
0.1364 0.7539 0.7539
0.2461 0.2461 0.8636
0.8352 0.8352 0.4753
0.8352 0.4753 0.8352
0.4146 0.4146 0.4146
0.5854 0.5854 0.5854
0.0000 0.0000 0.5000
0.0000 0.5000 0.0000
0.5000 0.0000 0.0000
0.0000 0.0000 0.0000
```

E_form = 29 meV per atom
calculated volume = 38.3 A^3/atom
space-group type = R-3m
VASP energy = -41.33 eV for the cell shown

---

# 4
# Ba2CuAu

A relaxed structure of Ba2CuAu (PBE, the Alexandria database).

Geometry as POSCAR:
```
Ba2CuAu
1.0
6.9481 0.0082 0.0000
3.8229 5.8018 0.0000
-5.3855 -2.9050 3.2914
Ba Au Cu
2 1 1
direct
0.2500 0.7500 0.5000
0.0000 0.0000 0.0000
0.7500 0.2500 0.5000
0.5000 0.5000 0.0000
```

E_form = -135 meV per atom
calculated volume = 33.1 A^3/atom
space-group type = I-4m2
VASP energy = -11.76 eV for the cell shown

---

# 5
# BaCu2Au4

A relaxed structure of BaCu2Au4 (PBE, the Alexandria database).

Geometry as POSCAR:
```
BaCu2Au4
1.0
-4.7751 2.3871 0.4560
-4.7078 -3.0479 -1.5196
-2.8340 -0.5536 5.0420
Ba Au Cu
1 4 2
direct
0.0000 0.0000 0.0000
0.3039 0.0000 0.3933
0.6961 0.0000 0.6067
0.3040 0.3933 0.9998
0.6960 0.6067 0.0002
0.2507 0.4995 0.4995
0.7493 0.5005 0.5005
```

E_form = -209 meV per atom
calculated volume = 20.2 A^3/atom
space-group type = C2/m
VASP energy = -24.69 eV for the cell shown

---

# 6
# Ba6CuAu2

A relaxed structure of Ba6CuAu2 (PBE, the Alexandria database).

Geometry as POSCAR:
```
Ba6CuAu2
1.0
-6.5320 2.3989 -3.1430
-3.8205 -0.9169 7.2404
3.2603 13.3387 3.4051
Cu Ba Au
2 12 4
direct
0.0000 0.0000 0.5000
0.5000 0.5000 0.0000
0.7298 0.8351 0.0000
0.7555 0.8319 0.3368
0.7445 0.3319 0.8368
0.2702 0.1649 0.0000
0.7435 0.3321 0.1637
0.2565 0.6679 0.8363
0.2445 0.1681 0.6632
0.7565 0.8321 0.6637
0.7702 0.3351 0.5000
0.2555 0.6681 0.1632
0.2298 0.6649 0.5000
0.2435 0.1679 0.3363
0.9999 0.5002 0.3262
0.0001 0.4998 0.6738
0.5001 0.0002 0.8262
0.4999 0.9998 0.1738
```

E_form = -339 meV per atom
calculated volume = 49.4 A^3/atom
space-group type = P2_1/c
VASP energy = -50.48 eV for the cell shown

---

# 7
# Ba2CuAu2

A relaxed structure of Ba2CuAu2 (PBE, the Alexandria database).

Geometry as POSCAR:
```
Ba2CuAu2
1.0
-1.3081 -1.2926 -4.2206
2.8453 -5.5473 -1.6917
-8.6963 -6.7904 2.2522
Cu Ba Au
2 4 4
direct
0.4233 0.8366 0.3181
0.5767 0.1634 0.6819
0.9111 0.2816 0.8953
0.0889 0.7184 0.1047
0.6934 0.2513 0.3624
0.3066 0.7487 0.6376
0.9526 0.6863 0.4095
0.0474 0.3137 0.5905
0.6313 0.8647 0.8734
0.3687 0.1353 0.1266
```

E_form = -538 meV per atom
calculated volume = 30.6 A^3/atom
space-group type = P-1
VASP energy = -34.37 eV for the cell shown

---

# 8
# BaCu2Au2

A relaxed structure of BaCu2Au2 (PBE, the Alexandria database).

Geometry as POSCAR:
```
BaCu2Au2
1.0
7.9837 0.0000 0.0000
0.0000 7.9837 0.0000
0.0000 0.0000 3.1919
Cu Ba Au
4 2 4
direct
0.6581 0.8419 0.5000
0.1581 0.6581 0.5000
0.3419 0.1581 0.5000
0.8419 0.3419 0.5000
0.0000 0.0000 0.0000
0.5000 0.5000 0.0000
0.8711 0.6289 0.0000
0.1289 0.3711 0.0000
0.3711 0.8711 0.0000
0.6289 0.1289 0.0000
```

E_form = -21 meV per atom
calculated volume = 20.3 A^3/atom
space-group type = P4/mbm
VASP energy = -33.55 eV for the cell shown

---

# 9
# Ba2CuAu

A relaxed structure of Ba2CuAu (PBE, the Alexandria database).

Geometry as POSCAR:
```
Ba2CuAu
1.0
4.6649 0.0000 0.0000
2.3325 4.0399 0.0000
2.3325 1.3466 8.0494
Ba Au Cu
2 1 1
direct
0.2531 0.2531 0.2406
0.0799 0.0799 0.7602
0.6654 0.6654 0.0039
0.5015 0.5015 0.4954
```

E_form = -251 meV per atom
calculated volume = 37.9 A^3/atom
space-group type = R3m
VASP energy = -12.22 eV for the cell shown

---

# 10
# Ba2CuAu

A relaxed structure of Ba2CuAu (PBE, the Alexandria database).

Geometry as POSCAR:
```
Ba2CuAu
1.0
6.6252 0.0065 -0.0119
4.9877 4.3608 -0.0119
0.0084 0.0031 4.7560
Cu Ba Au
1 2 1
direct
0.4332 0.4332 0.6248
0.0137 0.0137 0.1250
0.7384 0.7384 0.6250
0.3147 0.3147 0.1251
```

E_form = -365 meV per atom
calculated volume = 34.3 A^3/atom
space-group type = Amm2
VASP energy = -12.68 eV for the cell shown

---

# 11
# Ba4CuAu2

A relaxed structure of Ba4CuAu2 (PBE, the Alexandria database).

Geometry as POSCAR:
```
Ba4CuAu2
1.0
6.2556 0.0000 0.0000
0.0000 6.2556 0.0000
-3.1278 -3.1278 7.9549
Au Ba Cu
2 4 1
direct
0.4085 0.4085 0.8170
0.5915 0.5915 0.1830
0.2070 0.2070 0.4139
0.7930 0.7930 0.5861
0.0000 0.5000 0.0000
0.5000 0.0000 0.0000
0.0000 0.0000 0.0000
```

E_form = -273 meV per atom
calculated volume = 44.5 A^3/atom
space-group type = I4/mmm
VASP energy = -20.25 eV for the cell shown

---

# 12
# Ba2CuAu

A relaxed structure of Ba2CuAu (PBE, the Alexandria database).

Geometry as POSCAR:
```
Ba2CuAu
1.0
0.0000 4.0061 4.0061
4.0061 0.0000 4.0061
4.0061 4.0061 0.0000
Ba Cu Au
2 1 1
direct
0.7500 0.7500 0.7500
0.2500 0.2500 0.2500
0.0000 0.0000 0.0000
0.5000 0.5000 0.5000
```

E_form = -307 meV per atom
calculated volume = 32.1 A^3/atom
space-group type = Fm-3m
VASP energy = -12.45 eV for the cell shown

---

Number 1: magnetic moment 0.0000 μB per atom. Number 2: magnetic moment 0.0000 μB per atom. Number 3: magnetic moment 0.0000 μB per atom. Number 4: magnetic moment 0.0000 μB per atom. Number 5: magnetic moment 0.0000 μB per atom. Number 6: magnetic moment 0.0000 μB per atom. Number 7: magnetic moment 0.0000 μB per atom. Number 8: magnetic moment 0.0000 μB per atom. Number 9: magnetic moment 0.0000 μB per atom. Number 10: magnetic moment 0.0000 μB per atom. Number 11: magnetic moment 0.0000 μB per atom. Number 12: magnetic moment 0.0000 μB per atom.